# 1
VASP calculation (PBE) on crystalline K2ScCrSe4 at its relaxed geometry.

Calculated values
uncorrected formation energy = -1.200 eV/atom
theoretical density = 4.03 g cm⁻³
calculated volume = 202.1 Å³/cell
symmetry = P2/m, No. 10

abc: 3.9375 6.7867 7.9012
angles: 106.83 90.00 90.00
Last column: magnetic moment on the atom in μB.
Fractional positions:
K (0.5000, 0.0000, 0.5000)  0.00
K (0.0000, 0.5000, 0.5000)  0.00
Sc (0.0000, 0.0000, 0.0000)  0.03
Cr (0.5000, 0.5000, 0.0000)  3.02
Se (0.5000, 0.2422, 0.1922)  -0.04
Se (0.5000, 0.7578, 0.8078)  -0.04
Se (0.0000, 0.2848, 0.8163)  -0.07
Se (0.0000, 0.7152, 0.1837)  -0.07

# 2
VASP calculation (PBE) on crystalline PaHF at its relaxed geometry.

Calculated values
E = -6.16 eV/atom
theoretical density = 9.91 g cm⁻³
calculated volume = 42.1 Å³/cell
symmetry = F-43m, No. 216
D(E_F) = 2.034 states/eV per atom

abc: 3.9039 3.9039 3.9039
angles: 60.00 60.00 60.00
Last column: magnetic moment on the atom in μB.
Fractional positions:
H (0.0000, 0.0000, 0.0000)  -0.01
Pa (0.5000, 0.5000, 0.5000)  0.95
F (0.2500, 0.2500, 0.2500)  -0.01

# 3
VASP calculation (PBE) on crystalline EuErSn at its relaxed geometry.

Calculated values
energy of formation from the pure elements = -0.369 eV per atom
theoretical density = 7.92 g cm⁻³
calculated volume = 91.9 Å³/cell
symmetry = P3m1, No. 156
D(E_F) = 0.823 states/eV per atom

abc: 3.7936 5.2877 5.2877
angles: 120.00 90.00 90.00
Last column: magnetic moment on the atom in μB.
Fractional positions:
Eu (0.9812, 0.0000, 0.0000)  6.92
Sn (0.5772, 0.6667, 0.3333)  -0.04
Er (0.4416, 0.3333, 0.6667)  0.31

# 4
VASP calculation (PBE) on crystalline Ce2Sb2H3 at its relaxed geometry.

Calculated values
E = -4.79 eV/atom
theoretical density = 6.51 g cm⁻³
calculated volume = 134.5 Å³/cell
symmetry = C2/m, No. 12
D(E_F) = 1.726 states/eV per atom

abc: 3.8847 6.2561 6.6005
angles: 116.63 90.00 108.09
Last column: magnetic moment on the atom in μB.
Fractional positions:
Ce (0.8752, 0.7503, 0.7348)  0.76
Ce (0.1248, 0.2497, 0.2652)  0.76
Sb (0.8317, 0.6634, 0.1885)  0.01
Sb (0.1683, 0.3366, 0.8115)  0.01
H (0.5000, 0.0000, 0.0000)  -0.01
H (0.6731, 0.3461, 0.4592)  -0.01
H (0.3269, 0.6539, 0.5408)  -0.01

# 5
VASP calculation (PBE) on crystalline SiNi2Pb at its relaxed geometry.

Calculated values
uncorrected formation energy = -0.059 eV/atom
theoretical density = 9.01 g cm⁻³
calculated volume = 65.0 Å³/cell
symmetry = Imm2, No. 44
D(E_F) = 0.562 states/eV per atom

abc: 6.7005 6.7005 6.7005
angles: 150.37 154.04 39.80
Fractional positions:
Ni (0.0869, 0.0869, 0.0000)
Ni (0.7549, 0.2549, 0.5000)
Pb (0.4519, 0.4519, 0.0000)
Si (0.2064, 0.7064, 0.5000)

# 6
VASP calculation (PBE) on crystalline YAl4Pt2Rh at its relaxed geometry.

Calculated values
energy of formation from the pure elements = -0.934 eV per atom
theoretical density = 8.38 g cm⁻³
calculated volume = 136.8 Å³/cell
symmetry = R-3m, No. 166
D(E_F) = 0.546 states/eV per atom

abc: 4.2557 4.2557 9.0585
angles: 76.41 76.41 60.00
Fractional positions:
Y (0.0000, 0.0000, 0.0000)
Al (0.4023, 0.4023, 0.7930)
Al (0.8666, 0.8666, 0.4003)
Al (0.1334, 0.1334, 0.5997)
Al (0.5977, 0.5977, 0.2070)
Pt (0.7643, 0.7643, 0.7070)
Pt (0.2357, 0.2357, 0.2930)
Rh (0.5000, 0.5000, 0.5000)

# 7
VASP calculation (PBE) on crystalline SmDy2Hg2 at its relaxed geometry.

Calculated values
energy of formation from the pure elements = -0.233 eV per atom
theoretical density = 9.77 g cm⁻³
calculated volume = 149.0 Å³/cell
symmetry = P-3m1, No. 164
D(E_F) = 1.361 states/eV per atom

abc: 5.1986 5.1986 6.3655
angles: 90.00 90.00 120.00
Last column: magnetic moment on the atom in μB.
Fractional positions:
Sm (0.0000, 0.0000, 0.0000)  0.09
Dy (0.3333, 0.6667, 0.6580)  0.14
Dy (0.6667, 0.3333, 0.3420)  0.14
Hg (0.3333, 0.6667, 0.1767)  0.01
Hg (0.6667, 0.3333, 0.8233)  0.01

# 8
VASP calculation (PBE) on crystalline BeNi3Rh at its relaxed geometry.

Calculated values
energy of formation from the pure elements = 1.510 eV per atom
theoretical density = 5.30 g cm⁻³
calculated volume = 90.2 Å³/cell
symmetry = Pm-3m, No. 221
D(E_F) = 1.159 states/eV per atom

abc: 4.4848 4.4848 4.4848
angles: 90.00 90.00 90.00
Last column: magnetic moment on the atom in μB.
Fractional positions:
Ni (0.0000, 0.5000, 0.0000)  0.79
Ni (0.0000, 0.0000, 0.5000)  1.22
Ni (0.5000, 0.0000, 0.0000)  0.42
Rh (0.0000, 0.0000, 0.0000)  0.94
Be (0.5000, 0.5000, 0.5000)  -0.01

# 9
VASP calculation (PBE) on crystalline MgMnNiH2 at its relaxed geometry.

Calculated values
E = -4.33 eV/atom
theoretical density = 3.99 g cm⁻³
calculated volume = 58.3 Å³/cell
symmetry = P4/mmm, No. 123
D(E_F) = 0.505 states/eV per atom

abc: 3.5153 4.7155 3.5153
angles: 90.00 90.00 90.00
Last column: magnetic moment on the atom in μB.
Fractional positions:
Ni (0.0000, 0.5000, 0.0000)  0.36
Mg (0.5000, 0.5000, 0.5000)  -0.02
Mn (0.0000, 0.0000, 0.0000)  3.13
H (0.0000, 0.0000, 0.5000)  -0.04
H (0.5000, 0.0000, 0.0000)  -0.03

# 10
VASP calculation (PBE) on crystalline ZrMoSe2 at its relaxed geometry.

Calculated values
uncorrected formation energy = -0.431 eV/atom
theoretical density = 8.09 g cm⁻³
calculated volume = 70.9 Å³/cell
symmetry = Fm-3m, No. 225
D(E_F) = 0.541 states/eV per atom

abc: 4.6447 4.6447 4.6447
angles: 60.00 60.00 60.00
Last column: magnetic moment on the atom in μB.
Fractional positions:
Mo (0.5000, 0.5000, 0.5000)  1.19
Se (0.2500, 0.2500, 0.2500)  -0.01
Se (0.7500, 0.7500, 0.7500)  -0.01
Zr (0.0000, 0.0000, 0.0000)  0.42

# 11
VASP calculation (PBE) on crystalline Pr4Y2Er at its relaxed geometry.

Calculated values
energy of formation from the pure elements = 0.474 eV per atom
theoretical density = 6.08 g cm⁻³
calculated volume = 248.3 Å³/cell
symmetry = Cmmm, No. 65
D(E_F) = 1.715 states/eV per atom

abc: 6.0750 6.2267 7.2658
angles: 115.37 90.00 90.00
Fractional positions:
Pr (0.5000, 0.6363, 0.2726)
Pr (0.0000, 0.8084, 0.6168)
Pr (0.5000, 0.3637, 0.7274)
Pr (0.0000, 0.1916, 0.3832)
Y (0.5000, 0.1132, 0.2265)
Y (0.5000, 0.8868, 0.7735)
Er (0.0000, 0.5000, 0.0000)

# 12
VASP calculation (PBE) on crystalline Dy8Te4PSe3 at its relaxed geometry.

Calculated values
uncorrected formation energy = -1.555 eV/atom
theoretical density = 8.16 g cm⁻³
calculated volume = 422.8 Å³/cell
symmetry = R-3m, No. 166
D(E_F) = 0.291 states/eV per atom

abc: 8.3510 8.4998 8.3510
angles: 119.42 120.00 90.00
Fractional positions:
Dy (0.2297, 0.7115, 0.9818)
Dy (0.2297, 0.7115, 0.4594)
Dy (0.2611, 0.2832, 0.5221)
Dy (0.7521, 0.7115, 0.9818)
Dy (0.2479, 0.2885, 0.0182)
Dy (0.7389, 0.7168, 0.4779)
Dy (0.7703, 0.2885, 0.5406)
Dy (0.7703, 0.2885, 0.0182)
Te (0.5000, 0.0000, 0.0000)
Te (0.5000, 0.0000, 0.5000)
Te (0.0000, 0.0000, 0.0000)
Te (0.0000, 0.0000, 0.5000)
P (0.0000, 0.5000, 0.0000)
Se (0.5000, 0.5000, 0.0000)
Se (0.5000, 0.5000, 0.5000)
Se (0.0000, 0.5000, 0.5000)

# 13
VASP calculation (PBE) on crystalline CdP2Rh2 at its relaxed geometry.

Calculated values
energy of formation from the pure elements = -0.271 eV per atom
theoretical density = 7.66 g cm⁻³
calculated volume = 82.4 Å³/cell
symmetry = I4/mmm, No. 139
D(E_F) = 0.602 states/eV per atom

abc: 3.7481 3.7481 6.4385
angles: 73.08 73.08 90.00
Fractional positions:
P (0.7500, 0.2500, 0.5000)
P (0.2500, 0.7500, 0.5000)
Rh (0.3701, 0.3701, 0.2599)
Rh (0.6299, 0.6299, 0.7401)
Cd (0.0000, 0.0000, 0.0000)

# 14
VASP calculation (PBE) on crystalline MnSi2N at its relaxed geometry.

Calculated values
uncorrected formation energy = -0.113 eV/atom
theoretical density = 4.77 g cm⁻³
calculated volume = 43.5 Å³/cell
symmetry = Pm, No. 6
D(E_F) = 0.505 states/eV per atom

abc: 3.7817 2.7469 4.4562
angles: 90.00 109.95 90.00
Last column: magnetic moment on the atom in μB.
Fractional positions:
Mn (0.8289, 0.0000, 0.4072)  1.36
Si (0.1163, 0.0000, 0.9918)  -0.03
Si (0.3985, 0.5000, 0.6040)  -0.05
N (0.4526, 0.5000, 0.0344)  -0.01

# 15
VASP calculation (PBE) on crystalline B2IrPd at its relaxed geometry.

Calculated values
energy of formation from the pure elements = 0.100 eV per atom
theoretical density = 11.53 g cm⁻³
calculated volume = 46.1 Å³/cell
symmetry = R3m, No. 160
D(E_F) = 0.184 states/eV per atom

abc: 3.3044 3.3044 5.2382
angles: 71.61 71.61 60.00
Fractional positions:
B (0.0680, 0.0680, 0.7959)
B (0.2481, 0.2481, 0.2558)
Ir (0.6830, 0.6830, 0.9509)
Pd (0.5008, 0.5008, 0.4975)

# 16
VASP calculation (PBE) on crystalline NdMg2Si2Ir at its relaxed geometry.

Calculated values
uncorrected formation energy = 0.059 eV/atom
theoretical density = 5.33 g cm⁻³
calculated volume = 137.4 Å³/cell
symmetry = I4/mmm, No. 139
D(E_F) = 0.628 states/eV per atom

abc: 5.0433 5.0433 6.4716
angles: 112.93 112.93 90.00
Fractional positions:
Nd (0.5000, 0.5000, 0.0000)
Mg (0.2500, 0.7500, 0.5000)
Mg (0.7500, 0.2500, 0.5000)
Si (0.7907, 0.7907, 0.5815)
Si (0.2093, 0.2093, 0.4185)
Ir (0.0000, 0.0000, 0.0000)

# 17
VASP calculation (PBE) on crystalline Y2Al3NiPt4 at its relaxed geometry.

Calculated values
energy of formation from the pure elements = -1.010 eV per atom
theoretical density = 10.07 g cm⁻³
calculated volume = 181.1 Å³/cell
symmetry = P-4m2, No. 115
D(E_F) = 0.551 states/eV per atom

abc: 4.0755 4.0755 10.9039
angles: 90.00 90.00 90.00
Fractional positions:
Y (0.5000, 0.0000, 0.2612)
Y (0.0000, 0.5000, 0.7388)
Al (0.0000, 0.0000, 0.5000)
Al (0.5000, 0.0000, 0.8669)
Al (0.0000, 0.5000, 0.1331)
Ni (0.5000, 0.5000, 0.5000)
Pt (0.5000, 0.5000, 0.0000)
Pt (0.0000, 0.0000, 0.0000)
Pt (0.5000, 0.0000, 0.6419)
Pt (0.0000, 0.5000, 0.3581)

# 18
VASP calculation (PBE) on crystalline ErU3Tl3Se8 at its relaxed geometry.

Calculated values
uncorrected formation energy = -1.074 eV/atom
theoretical density = 7.53 g cm⁻³
calculated volume = 468.8 Å³/cell
symmetry = R-3m, No. 166
D(E_F) = 1.051 states/eV per atom

abc: 8.2939 8.2946 9.2127
angles: 116.77 90.00 120.00
Last column: magnetic moment on the atom in μB.
Fractional positions:
Er (0.0000, 0.0000, 0.5000)  0.05
U (0.5000, 0.0000, 0.5000)  2.52
U (0.5000, 0.5000, 0.5000)  2.52
U (0.0000, 0.5000, 0.5000)  2.52
Tl (0.0000, 0.0000, 0.0000)  0.00
Tl (0.0000, 0.5000, 0.0000)  0.00
Tl (0.5000, 0.5000, 0.0000)  0.00
Se (0.2646, 0.5292, 0.2939)  -0.06
Se (0.7354, 0.4708, 0.7061)  -0.06
Se (0.7665, 0.5330, 0.2977)  -0.05
Se (0.2335, 0.4670, 0.7023)  -0.05
Se (0.7665, 0.0311, 0.2977)  -0.05
Se (0.2335, 0.9689, 0.7023)  -0.05
Se (0.2646, 0.0311, 0.2977)  -0.05
Se (0.7354, 0.9689, 0.7023)  -0.05

# 19
VASP calculation (PBE) on crystalline ThGa5Cu2Pt at its relaxed geometry.

Calculated values
energy of formation from the pure elements = -0.171 eV per atom
theoretical density = 8.34 g cm⁻³
calculated volume = 179.7 Å³/cell
symmetry = P4/mmm, No. 123
D(E_F) = 0.539 states/eV per atom

abc: 4.2398 4.2398 9.9975
angles: 90.00 90.00 90.00
Fractional positions:
Th (0.0000, 0.0000, 0.5000)
Ga (0.0000, 0.5000, 0.1530)
Ga (0.5000, 0.0000, 0.1530)
Ga (0.0000, 0.5000, 0.8470)
Ga (0.5000, 0.0000, 0.8470)
Ga (0.5000, 0.5000, 0.5000)
Cu (0.5000, 0.5000, 0.2739)
Cu (0.5000, 0.5000, 0.7261)
Pt (0.0000, 0.0000, 0.0000)

# 20
VASP calculation (PBE) on crystalline CdCoCl2 at its relaxed geometry.

Calculated values
uncorrected formation energy = 0.236 eV/atom
theoretical density = 5.22 g cm⁻³
calculated volume = 77.0 Å³/cell
symmetry = Fm-3m, No. 225
D(E_F) = 1.313 states/eV per atom

abc: 4.7763 4.7763 4.7763
angles: 60.00 60.00 60.00
Last column: magnetic moment on the atom in μB.
Fractional positions:
Cl (0.2500, 0.2500, 0.2500)  0.03
Cl (0.7500, 0.7500, 0.7500)  0.03
Co (0.0000, 0.0000, 0.0000)  1.84
Cd (0.5000, 0.5000, 0.5000)  -0.05

# 21
VASP calculation (PBE) on crystalline Ga2IBr at its relaxed geometry.

Calculated values
uncorrected formation energy = -0.424 eV/atom
theoretical density = 4.17 g cm⁻³
calculated volume = 551.2 Å³/cell
symmetry = Pnma, No. 62
D(E_F) = 0.000 states/eV per atom

abc: 4.5012 7.7070 15.8880
angles: 90.00 90.00 90.00
Fractional positions:
Ga (0.7500, 0.2488, 0.4960)
Ga (0.2500, 0.2512, 0.9960)
Ga (0.2500, 0.7512, 0.5040)
Ga (0.7500, 0.7488, 0.0040)
Ga (0.7500, 0.6549, 0.2557)
Ga (0.2500, 0.8451, 0.7557)
Ga (0.2500, 0.3451, 0.7443)
Ga (0.7500, 0.1549, 0.2443)
I (0.7500, 0.5961, 0.6516)
I (0.2500, 0.9039, 0.1516)
I (0.2500, 0.4039, 0.3484)
I (0.7500, 0.0961, 0.8484)
Br (0.7500, 0.9143, 0.4023)
Br (0.2500, 0.5857, 0.9023)
Br (0.2500, 0.0857, 0.5977)
Br (0.7500, 0.4143, 0.0977)

# 22
VASP calculation (PBE) on crystalline Ba8InAu2 at its relaxed geometry.

Calculated values
energy of formation from the pure elements = -0.297 eV per atom
theoretical density = 5.25 g cm⁻³
calculated volume = 508.3 Å³/cell
symmetry = Cm, No. 8
D(E_F) = 1.161 states/eV per atom

abc: 6.4098 9.3143 9.3143
angles: 109.89 97.75 97.75
Fractional positions:
Ba (0.5919, 0.3251, 0.0615)
Ba (0.5919, 0.0615, 0.3251)
Ba (0.2017, 0.3716, 0.3716)
Ba (0.9998, 0.2483, 0.7576)
Ba (0.9998, 0.7576, 0.2483)
Ba (0.7985, 0.6351, 0.6351)
Ba (0.4077, 0.9447, 0.6808)
Ba (0.4077, 0.6808, 0.9447)
In (0.0010, 0.0033, 0.0033)
Au (0.4999, 0.6859, 0.3203)
Au (0.4999, 0.3203, 0.6859)

# 23
VASP calculation (PBE) on crystalline NaErP2Pt4 at its relaxed geometry.

Calculated values
energy of formation from the pure elements = -0.722 eV per atom
theoretical density = 10.77 g cm⁻³
calculated volume = 159.2 Å³/cell
symmetry = P4/mmm, No. 123
D(E_F) = 0.313 states/eV per atom

abc: 4.0134 4.0134 9.8844
angles: 90.00 90.00 90.00
Fractional positions:
Na (0.0000, 0.0000, 0.5000)
Er (0.0000, 0.0000, 0.0000)
P (0.5000, 0.5000, 0.3398)
P (0.5000, 0.5000, 0.6602)
Pt (0.0000, 0.5000, 0.2160)
Pt (0.5000, 0.0000, 0.7840)
Pt (0.5000, 0.0000, 0.2160)
Pt (0.0000, 0.5000, 0.7840)

# 24
VASP calculation (PBE) on crystalline Ta2TlIr at its relaxed geometry.

Calculated values
energy of formation from the pure elements = 0.259 eV per atom
theoretical density = 17.40 g cm⁻³
calculated volume = 72.4 Å³/cell
symmetry = I-4m2, No. 119
D(E_F) = 1.129 states/eV per atom

abc: 5.2921 5.2921 5.2921
angles: 135.25 135.25 65.14
Fractional positions:
Ir (0.7500, 0.2500, 0.5000)
Ta (0.0000, 0.0000, 0.0000)
Ta (0.2500, 0.7500, 0.5000)
Tl (0.5000, 0.5000, 0.0000)

# 25
VASP calculation (PBE) on crystalline BaErSnHg at its relaxed geometry.

Calculated values
energy of formation from the pure elements = -0.432 eV per atom
theoretical density = 8.27 g cm⁻³
calculated volume = 125.2 Å³/cell
symmetry = F-43m, No. 216
D(E_F) = 0.910 states/eV per atom

abc: 5.6155 5.6155 5.6155
angles: 60.00 60.00 60.00
Fractional positions:
Ba (0.5000, 0.5000, 0.5000)
Hg (0.7500, 0.7500, 0.7500)
Sn (0.2500, 0.2500, 0.2500)
Er (0.0000, 0.0000, 0.0000)

# 26
VASP calculation (PBE) on crystalline SmSc2In9 at its relaxed geometry.

Calculated values
energy of formation from the pure elements = -0.353 eV per atom
theoretical density = 7.34 g cm⁻³
calculated volume = 288.2 Å³/cell
symmetry = P4/mmm, No. 123
D(E_F) = 0.350 states/eV per atom

abc: 4.5853 4.5853 13.7079
angles: 90.00 90.00 90.00
Fractional positions:
Sm (0.0000, 0.0000, 0.0000)
Sc (0.0000, 0.0000, 0.3370)
Sc (0.0000, 0.0000, 0.6630)
In (0.5000, 0.5000, 0.0000)
In (0.5000, 0.5000, 0.3359)
In (0.5000, 0.5000, 0.6641)
In (0.5000, 0.0000, 0.1744)
In (0.5000, 0.0000, 0.5000)
In (0.5000, 0.0000, 0.8256)
In (0.0000, 0.5000, 0.1744)
In (0.0000, 0.5000, 0.5000)
In (0.0000, 0.5000, 0.8256)